Record 1
A plane-wave DFT calculation with meta-GGA SCAN was carried out for a PBEsol-optimized structure of YAlP2.

Unit cell a=3.548 b=4.269 c=4.623 alpha=90.00 beta=90.00 gamma=90.00
Space group Pmmm (No. 47)
Inequivalent atoms, fractional coordinates:
Y 0.000 0.000 0.000 x1
Al 0.000 0.500 0.500 x1
P 0.500 0.000 0.500 x1
P 0.500 0.500 0.000 x1

Values from the calculation:
VASP energy in eV/atom: -14.71
Magnetic moment in μB/atom: 0.00
Energy of formation in kJ/mol of atoms: -59

Record 2
A plane-wave DFT calculation with meta-GGA SCAN was carried out for a PBEsol-optimized structure of Li3MnP2HO8.

Unit cell a=5.008 b=5.036 c=6.185 alpha=89.29 beta=89.89 gamma=66.88
Space group P-1 (No. 2)
Inequivalent atoms, fractional coordinates:
Li 0.000 0.000 0.000 x1
Li 0.382 0.223 0.742 x2
Mn 0.000 0.000 0.500 x1
P 0.360 0.361 0.251 x2
H 0.000 0.500 0.000 x1
O 0.220 0.294 0.041 x2
O 0.244 0.250 0.447 x2
O 0.271 0.692 0.259 x2
O 0.308 0.807 0.765 x2

Values from the calculation:
VASP energy in eV/atom: -9.01
Magnetic moment in μB/atom: 0.33

Record 3
A plane-wave DFT calculation with meta-GGA SCAN was carried out for a PBEsol-optimized structure of La2PbCl.

Unit cell a=7.633 b=7.633 c=7.633 alpha=90.00 beta=90.00 gamma=90.00
Space group Fm-3m (No. 225)
Inequivalent atoms, fractional coordinates:
La 0.250 0.250 0.250 x8
Pb 0.000 0.000 0.000 x4
Cl 0.000 0.000 0.500 x4

Values from the calculation:
VASP energy in eV/atom: -43.78
Magnetic moment in μB/atom: 0.00
ΔE_f (raw) in eV/atom: -1.29

Record 4
A plane-wave DFT calculation with meta-GGA SCAN was carried out for a PBEsol-optimized structure of CuPt.

Unit cell a=7.436 b=10.675 c=2.698 alpha=90.00 beta=90.00 gamma=90.00
Space group Cmmm (No. 65)
Inequivalent atoms, fractional coordinates:
Cu 0.000 0.118 0.000 x4
Cu 0.238 0.000 0.500 x4
Pt 0.000 0.378 0.000 x4
Pt 0.250 0.250 0.500 x4

Values from the calculation:
VASP energy in eV/atom: -42.80
Magnetic moment in μB/atom: 0.00
Energy of formation in kJ/mol of atoms: -10

Record 5
A plane-wave DFT calculation with meta-GGA SCAN was carried out for a PBEsol-optimized structure of K2ScRu.

Unit cell a=7.221 b=7.221 c=7.221 alpha=90.00 beta=90.00 gamma=90.00
Space group F-43m (No. 216)
Inequivalent atoms, fractional coordinates:
K 0.000 0.000 0.000 x4
K 0.250 0.250 0.250 x4
Sc 0.250 0.250 0.750 x4
Ru 0.000 0.000 0.500 x4

Values from the calculation:
VASP energy in eV/atom: -15.48
Magnetic moment in μB/atom: 0.00
Energy of formation in kJ/mol of atoms: 91

Record 6
A plane-wave DFT calculation with meta-GGA SCAN was carried out for a PBEsol-optimized structure of TaSiTe2Cl.

Unit cell a=5.108 b=5.108 c=4.479 alpha=90.00 beta=90.00 gamma=90.00
Space group P4/mmm (No. 123)
Inequivalent atoms, fractional coordinates:
Ta 0.000 0.000 0.000 x1
Si 0.500 0.500 0.000 x1
Te 0.000 0.500 0.500 x2
Cl 0.500 0.500 0.500 x1

Values from the calculation:
VASP energy in eV/atom: -30.35
Magnetic moment in μB/atom: 0.41
ΔE_f (raw) in eV/atom: 1.47

Record 7
A plane-wave DFT calculation with meta-GGA SCAN was carried out for a PBEsol-optimized structure of Ba2MnNbBi.

Unit cell a=5.959 b=5.959 c=4.563 alpha=90.00 beta=90.00 gamma=90.00
Space group P4/mmm (No. 123)
Inequivalent atoms, fractional coordinates:
Ba 0.000 0.500 0.000 x2
Mn 0.000 0.000 0.000 x1
Nb 0.000 0.000 0.500 x1
Bi 0.500 0.500 0.500 x1

Values from the calculation:
VASP energy in eV/atom: -41.44
Magnetic moment in μB/atom: 0.04
Energy of formation in kJ/mol of atoms: 36

Record 8
A plane-wave DFT calculation with meta-GGA SCAN was carried out for a PBEsol-optimized structure of LiPbAu2.

Unit cell a=6.686 b=6.686 c=6.686 alpha=90.00 beta=90.00 gamma=90.00
Space group F-43m (No. 216)
Inequivalent atoms, fractional coordinates:
Li 0.000 0.000 0.000 x4
Pb 0.250 0.250 0.750 x4
Au 0.000 0.000 0.500 x4
Au 0.250 0.250 0.250 x4

Values from the calculation:
VASP energy in eV/atom: -54.39
Magnetic moment in μB/atom: 0.00
Energy of formation in kJ/mol of atoms: -26

Record 9
A plane-wave DFT calculation with meta-GGA SCAN was carried out for a PBEsol-optimized structure of Ca2YSc.

Unit cell a=5.583 b=5.583 c=4.110 alpha=90.00 beta=90.00 gamma=90.00
Space group P4/mmm (No. 123)
Inequivalent atoms, fractional coordinates:
Ca 0.000 0.500 0.000 x2
Y 0.000 0.000 0.500 x1
Sc 0.500 0.500 0.500 x1

Values from the calculation:
VASP energy in eV/atom: -15.08
Magnetic moment in μB/atom: 0.10
Energy of formation in kJ/mol of atoms: 26

Record 10
A plane-wave DFT calculation with meta-GGA SCAN was carried out for a PBEsol-optimized structure of Os2AuCl.

Unit cell a=2.704 b=4.699 c=4.884 alpha=90.00 beta=90.00 gamma=90.00
Space group Pmmm (No. 47)
Inequivalent atoms, fractional coordinates:
Os 0.000 0.000 0.000 x1
Os 0.500 0.000 0.500 x1
Au 0.000 0.500 0.500 x1
Cl 0.500 0.500 0.000 x1

Values from the calculation:
VASP energy in eV/atom: -53.95
Magnetic moment in μB/atom: 0.33
ΔE_f (raw) in eV/atom: 1.27

Record 11
A plane-wave DFT calculation with meta-GGA SCAN was carried out for a PBEsol-optimized structure of AlSiTc.

Unit cell a=3.142 b=3.142 c=8.066 alpha=90.00 beta=90.00 gamma=90.00
Space group I4mm (No. 107)
Inequivalent atoms, fractional coordinates:
Al 0.000 0.000 0.000 x2
Si 0.000 0.000 0.676 x2
Tc 0.000 0.000 0.326 x2

Values from the calculation:
VASP energy in eV/atom: -18.32
Magnetic moment in μB/atom: 0.00
ΔE_f (raw) in eV/atom: -0.71

Record 12
A plane-wave DFT calculation with meta-GGA SCAN was carried out for a PBEsol-optimized structure of GeO2.

Unit cell a=11.981 b=8.213 c=5.029 alpha=90.00 beta=112.41 gamma=90.00
Space group C2/c (No. 15)
Inequivalent atoms, fractional coordinates:
Ge 0.138 0.116 0.313 x8
O 0.000 0.214 0.250 x4
O 0.150 0.074 0.983 x8
O 0.250 0.250 0.500 x4

Values from the calculation:
VASP energy in eV/atom: -12.19
Magnetic moment in μB/atom: 0.00
ΔE_f (raw) in eV/atom: -1.68

Record 13
A plane-wave DFT calculation with meta-GGA SCAN was carried out for a PBEsol-optimized structure of CdTe.

Unit cell a=5.904 b=6.590 c=5.586 alpha=90.00 beta=90.00 gamma=90.00
Space group Cmcm (No. 63)
Inequivalent atoms, fractional coordinates:
Cd 0.000 0.147 0.250 x4
Te 0.000 0.297 0.750 x4

Values from the calculation:
VASP energy in eV/atom: -34.14
Magnetic moment in μB/atom: 0.00
ΔE_f (raw) in eV/atom: -0.30

Record 14
A plane-wave DFT calculation with meta-GGA SCAN was carried out for a PBEsol-optimized structure of BaMnRe3.

Unit cell a=4.909 b=4.909 c=4.909 alpha=90.00 beta=90.00 gamma=90.00
Space group Pm-3m (No. 221)
Inequivalent atoms, fractional coordinates:
Ba 0.000 0.000 0.000 x1
Mn 0.500 0.500 0.500 x1
Re 0.000 0.000 0.500 x3

Values from the calculation:
VASP energy in eV/atom: -50.29
Magnetic moment in μB/atom: 0.22
Energy of formation in kJ/mol of atoms: 379

Record 15
A plane-wave DFT calculation with meta-GGA SCAN was carried out for a PBEsol-optimized structure of TaBeCo.

Unit cell a=5.339 b=5.339 c=5.339 alpha=90.00 beta=90.00 gamma=90.00
Space group F-43m (No. 216)
Inequivalent atoms, fractional coordinates:
Ta 0.000 0.000 0.000 x4
Be 0.250 0.250 0.750 x4
Co 0.000 0.000 0.500 x4

Values from the calculation:
VASP energy in eV/atom: -29.03
Magnetic moment in μB/atom: 0.51
Energy of formation in kJ/mol of atoms: 37

Record 16
A plane-wave DFT calculation with meta-GGA SCAN was carried out for a PBEsol-optimized structure of La3Ge4Rh4.

Unit cell a=4.119 b=4.215 c=25.151 alpha=90.00 beta=90.00 gamma=90.00
Space group Immm (No. 71)
Inequivalent atoms, fractional coordinates:
La 0.000 0.000 0.000 x2
La 0.000 0.500 0.144 x4
Ge 0.000 0.000 0.451 x4
Ge 0.000 0.500 0.302 x4
Rh 0.000 0.000 0.250 x4
Rh 0.000 0.500 0.400 x4

Values from the calculation:
VASP energy in eV/atom: -32.05
Magnetic moment in μB/atom: 0.00
Energy of formation in kJ/mol of atoms: -103

Record 17
A plane-wave DFT calculation with meta-GGA SCAN was carried out for a PBEsol-optimized structure of CaScTe2Au.

Unit cell a=5.602 b=5.602 c=5.067 alpha=90.00 beta=90.00 gamma=90.00
Space group P4/mmm (No. 123)
Inequivalent atoms, fractional coordinates:
Ca 0.000 0.000 0.000 x1
Sc 0.500 0.500 0.500 x1
Te 0.000 0.500 0.000 x2
Au 0.000 0.000 0.500 x1

Values from the calculation:
VASP energy in eV/atom: -33.56
Magnetic moment in μB/atom: 0.01
ΔE_f (raw) in eV/atom: -0.05

Record 18
A plane-wave DFT calculation with meta-GGA SCAN was carried out for a PBEsol-optimized structure of YMg3Cu2.

Unit cell a=7.005 b=13.346 c=5.038 alpha=90.00 beta=90.00 gamma=90.00
Space group Cmcm (No. 63)
Inequivalent atoms, fractional coordinates:
Y 0.000 0.096 0.250 x4
Mg 0.000 0.346 0.750 x4
Mg 0.235 0.326 0.250 x8
Cu 0.177 0.500 0.000 x8

Values from the calculation:
VASP energy in eV/atom: -12.31
Magnetic moment in μB/atom: 0.02
Energy of formation in kJ/mol of atoms: -12

Record 19
A plane-wave DFT calculation with meta-GGA SCAN was carried out for a PBEsol-optimized structure of LiLaTe.

Unit cell a=7.288 b=7.288 c=7.288 alpha=90.00 beta=90.00 gamma=90.00
Space group F-43m (No. 216)
Inequivalent atoms, fractional coordinates:
Li 0.000 0.000 0.000 x4
La 0.250 0.250 0.250 x4
Te 0.000 0.000 0.500 x4

Values from the calculation:
VASP energy in eV/atom: -28.12
Magnetic moment in μB/atom: 0.00
ΔE_f (raw) in eV/atom: -0.53

Record 20
A plane-wave DFT calculation with meta-GGA SCAN was carried out for a PBEsol-optimized structure of Mg2Sb2Pt.

Unit cell a=7.186 b=7.186 c=4.360 alpha=90.00 beta=90.00 gamma=90.00
Space group P4/mbm (No. 127)
Inequivalent atoms, fractional coordinates:
Mg 0.157 0.343 0.000 x4
Sb 0.158 0.658 0.500 x4
Pt 0.000 0.000 0.500 x2

Values from the calculation:
VASP energy in eV/atom: -31.14
Magnetic moment in μB/atom: 0.00
ΔE_f (raw) in eV/atom: -0.20

Record 21
A plane-wave DFT calculation with meta-GGA SCAN was carried out for a PBEsol-optimized structure of Bi2BBr.

Unit cell a=7.104 b=7.104 c=7.104 alpha=90.00 beta=90.00 gamma=90.00
Space group Fm-3m (No. 225)
Inequivalent atoms, fractional coordinates:
Bi 0.250 0.250 0.250 x8
B 0.000 0.000 0.000 x4
Br 0.000 0.000 0.500 x4

Values from the calculation:
VASP energy in eV/atom: -44.97
Magnetic moment in μB/atom: 0.00
ΔE_f (raw) in eV/atom: 1.04

Record 22
A plane-wave DFT calculation with meta-GGA SCAN was carried out for a PBEsol-optimized structure of MgIrPt2.

Unit cell a=5.571 b=7.639 c=2.767 alpha=90.00 beta=90.00 gamma=90.00
Space group Cmmm (No. 65)
Inequivalent atoms, fractional coordinates:
Mg 0.000 0.000 0.000 x2
Ir 0.000 0.500 0.000 x2
Pt 0.250 0.250 0.500 x4

Values from the calculation:
VASP energy in eV/atom: -54.64
Magnetic moment in μB/atom: 0.00
Energy of formation in kJ/mol of atoms: -51

Record 23
A plane-wave DFT calculation with meta-GGA SCAN was carried out for a PBEsol-optimized structure of Hg2IrSe.

Unit cell a=2.9008 b=2.9008 c=31.5597 alpha=90.00 beta=90.00 gamma=120.00
Space group R-3m (No. 166, hexagonal axes)
Inequivalent atoms, fractional coordinates:
Hg 0.0000 0.0000 0.2402 x6
Ir 0.0000 0.0000 0.5000 x3
Se 0.0000 0.0000 0.0000 x3

Values from the calculation:
VASP energy in eV/atom: -56.28
Magnetic moment in μB/atom: 0.00
ΔE_f (raw) in eV/atom: 0.60

Record 24
A plane-wave DFT calculation with meta-GGA SCAN was carried out for a PBEsol-optimized structure of In4FeSi.

Unit cell a=8.149 b=8.149 c=8.149 alpha=90.00 beta=90.00 gamma=90.00
Space group F-43m (No. 216)
Inequivalent atoms, fractional coordinates:
In 0.125 0.125 0.125 x16
Fe 0.000 0.000 0.500 x4
Si 0.250 0.250 0.750 x4

Values from the calculation:
VASP energy in eV/atom: -26.12
Magnetic moment in μB/atom: 0.51
ΔE_f (raw) in eV/atom: 0.82

Record 25
A plane-wave DFT calculation with meta-GGA SCAN was carried out for a PBEsol-optimized structure of RbSbBrF3.

Unit cell a=4.369 b=7.623 c=8.952 alpha=110.06 beta=99.91 gamma=103.58
Space group P-1 (No. 2)
Inequivalent atoms, fractional coordinates:
Rb 0.021 0.195 0.355 x2
Sb 0.304 0.658 0.202 x2
Br 0.436 0.269 0.069 x2
F 0.213 0.265 0.704 x2
F 0.303 0.616 0.412 x2
F 0.400 0.946 0.314 x2

Values from the calculation:
VASP energy in eV/atom: -16.99
Magnetic moment in μB/atom: 0.00
ΔE_f (raw) in eV/atom: -2.31

Record 26
A plane-wave DFT calculation with meta-GGA SCAN was carried out for a PBEsol-optimized structure of IBr2Cl.

Unit cell a=7.325 b=7.325 c=7.325 alpha=90.00 beta=90.00 gamma=90.00
Space group Fm-3m (No. 225)
Inequivalent atoms, fractional coordinates:
I 0.000 0.000 0.000 x4
Br 0.250 0.250 0.250 x8
Cl 0.000 0.000 0.500 x4

Values from the calculation:
VASP energy in eV/atom: -20.37
Magnetic moment in μB/atom: 0.35
ΔE_f (raw) in eV/atom: 0.54

Record 27
A plane-wave DFT calculation with meta-GGA SCAN was carried out for a PBEsol-optimized structure of ScAg3.

Unit cell a=4.802 b=5.813 c=4.998 alpha=90.00 beta=90.00 gamma=90.00
Space group Pmmn (No. 59, origin choice 2)
Inequivalent atoms, fractional coordinates:
Sc 0.250 0.250 0.155 x2
Ag 0.250 0.503 0.662 x4
Ag 0.250 0.750 0.168 x2

Values from the calculation:
VASP energy in eV/atom: -27.33
Magnetic moment in μB/atom: 0.00
Energy of formation in kJ/mol of atoms: -24